First-principles (meta-GGA SCAN) data for a PBEsol-optimized structure of KYTa2, as listed in the Alexandria database.

Unit cell a=2.904 b=2.904 c=11.755 alpha=90.00 beta=90.00 gamma=109.81
Positions (direct):
1 K 0.000 0.000 0.000
2 Y 0.000 0.000 0.500
3 Ta 0.500 0.500 0.277
4 Ta 0.500 0.500 0.723

## Properties
**Electronic total energy**: -165.5 eV per cell
**Relative energy among the computed polymorphs**: 17.8 kJ per mole of atoms
**M_tot**: 0.0 μB per formula unit
**Energy relative to the elements**: 0.961 eV/atom